(1)
# CdPS2Cl PBE optimized geometry
data_CdPS2Cl
_chemical_formula_sum 'Cd1 P1 S2 Cl1'
_symmetry_space_group_name_H-M 'P 4/m m m'
_symmetry_Int_Tables_number 123
_symmetry_space_group_name_Hall '-P 4 2'
_cell_length_a 4.8692
_cell_length_b 4.8692
_cell_length_c 5.3820
_cell_angle_alpha 90.00
_cell_angle_beta 90.00
_cell_angle_gamma 90.00
loop_
_atom_site_label
_atom_site_fract_x
_atom_site_fract_y
_atom_site_fract_z
_atom_site_occupancy
Cd1 0.0000 0.0000 0.0000 1
P1 0.0000 0.0000 0.5000 1
S1 0.0000 0.5000 0.0000 1
Cl1 0.5000 0.5000 0.5000 1
# DOS at the Fermi energy, states/eV per cell: 6.551
# ΔE_f (raw), eV per atom: 1.055
# Final energy, eV for the cell shown: -11.15
# E above lowest polymorph, eV/atom: 0.917


(2)
# CdPSCl2 PBE optimized geometry
data_CdPSCl2
_chemical_formula_sum 'Cd1 P1 S1 Cl2'
_symmetry_space_group_name_H-M 'P 4/m m m'
_symmetry_Int_Tables_number 123
_symmetry_space_group_name_Hall '-P 4 2'
_cell_length_a 4.9310
_cell_length_b 4.9310
_cell_length_c 5.5364
_cell_angle_alpha 90.00
_cell_angle_beta 90.00
_cell_angle_gamma 90.00
loop_
_atom_site_label
_atom_site_fract_x
_atom_site_fract_y
_atom_site_fract_z
_atom_site_occupancy
Cd1 0.0000 0.0000 0.0000 1
P1 0.0000 0.0000 0.5000 1
S1 0.5000 0.5000 0.5000 1
Cl1 0.0000 0.5000 0.0000 1
# DOS at the Fermi energy, states/eV per cell: 2.462
# ΔE_f (raw), eV per atom: 0.605
# Final energy, eV for the cell shown: -11.12
# E above lowest polymorph, eV/atom: 0.625


(3)
# CdPSCl2 PBE optimized geometry
data_CdPSCl2
_chemical_formula_sum 'Cd1 P1 S1 Cl2'
_symmetry_space_group_name_H-M 'P 4/m m m'
_symmetry_Int_Tables_number 123
_symmetry_space_group_name_Hall '-P 4 2'
_cell_length_a 4.7773
_cell_length_b 4.7773
_cell_length_c 4.8960
_cell_angle_alpha 90.00
_cell_angle_beta 90.00
_cell_angle_gamma 90.00
loop_
_atom_site_label
_atom_site_fract_x
_atom_site_fract_y
_atom_site_fract_z
_atom_site_occupancy
Cd1 0.0000 0.0000 0.0000 1
P1 0.5000 0.5000 0.0000 1
S1 0.5000 0.5000 0.5000 1
Cl1 0.0000 0.5000 0.5000 1
# DOS at the Fermi energy, states/eV per cell: 3.595
# ΔE_f (raw), eV per atom: 0.402
# Final energy, eV for the cell shown: -12.13
# E above lowest polymorph, eV/atom: 0.423


(4)
# CdPS2Cl PBE optimized geometry
data_CdPS2Cl
_chemical_formula_sum 'Cd1 P1 S2 Cl1'
_symmetry_space_group_name_H-M 'P 4/m m m'
_symmetry_Int_Tables_number 123
_symmetry_space_group_name_Hall '-P 4 2'
_cell_length_a 4.6691
_cell_length_b 4.6691
_cell_length_c 4.8057
_cell_angle_alpha 90.00
_cell_angle_beta 90.00
_cell_angle_gamma 90.00
loop_
_atom_site_label
_atom_site_fract_x
_atom_site_fract_y
_atom_site_fract_z
_atom_site_occupancy
Cd1 0.0000 0.0000 0.0000 1
P1 0.5000 0.5000 0.0000 1
S1 0.0000 0.5000 0.5000 1
Cl1 0.5000 0.5000 0.5000 1
# DOS at the Fermi energy, states/eV per cell: 6.489
# ΔE_f (raw), eV per atom: 1.062
# Final energy, eV for the cell shown: -11.12
# E above lowest polymorph, eV/atom: 0.924